(1)
DFT (PBE) results for a geometry-optimized SnIr2N structure.

a = 4.363 Å, b = 4.363 Å, c = 4.363 Å
α = 60.00°, β = 60.00°, γ = 60.00°
Each line ends with the local moment (μB).
Atoms (fractional coordinates):
Ir 0.750 0.750 0.750  0.17
Sn 0.500 0.500 0.500  0.01
Ir 0.250 0.250 0.250  0.17
N 0.000 0.000 0.000  0.29

Values from the calculation:
For the energy, the calculation gives -6.3082 eV/atom. For the formation energy from raw total energies, the calculation gives 1204.3 meV/atom. Its symmetry is Fm-3m. Its density of states at the Fermi level is 4.471 states/eV per cell.

---

(2)
DFT (PBE) results for a geometry-optimized SnIr3N structure.

a = 4.189 Å, b = 4.189 Å, c = 4.189 Å
α = 90.00°, β = 90.00°, γ = 90.00°
Atoms (fractional coordinates):
Sn 0.500 0.500 0.500
Ir 0.500 0.000 0.000
Ir 0.000 0.500 0.000
Ir 0.000 0.000 0.500
N 0.000 0.000 0.000

Values from the calculation:
For the energy, the calculation gives -7.1367 eV/atom. For the formation energy from raw total energies, the calculation gives 645.5 meV/atom. Its symmetry is Pm-3m. Its density of states at the Fermi level is 4.215 states/eV per cell.